#i
# NdErGa2

An optimized crystal structure of NdErGa2 (PBE-GGA, the Alexandria database).

POSCAR file:
```
NdErGa2
1.0
3.6210 0.0000 0.0000
0.0000 3.6210 0.0000
0.0000 0.0000 7.2123
Nd Er Ga
1 1 2
Cartesian
0.0000 0.0000 0.0000
0.0000 0.0000 3.6061
1.8105 1.8105 1.9305
1.8105 1.8105 5.2817
```

---

#ii
# NdErGa2

An optimized crystal structure of NdErGa2 (PBE-GGA, the Alexandria database).

POSCAR file:
```
NdErGa2
1.0
4.4057 0.0000 0.0000
0.0000 4.0996 0.0000
-2.1989 0.0000 5.5367
Nd Er Ga
1 1 2
Cartesian
0.0000 0.0000 0.0000
-0.0022 2.0498 3.0807
2.2038 2.0498 0.7719
2.1996 0.0000 2.4242
```

---

#iii
# NdErGa2

An optimized crystal structure of NdErGa2 (PBE-GGA, the Alexandria database).

POSCAR file:
```
NdErGa2
1.0
3.7037 0.0000 0.0000
-1.8519 3.2075 0.0000
0.0000 0.0000 26.3488
Nd Er Ga
3 3 6
Cartesian
0.0000 0.0000 0.0000
0.0000 2.1384 17.5659
1.8519 1.0692 8.7829
0.0000 0.0000 13.1744
0.0000 2.1384 4.3915
1.8519 1.0692 21.9573
0.0000 0.0000 6.5053
0.0000 0.0000 19.8436
0.0000 2.1384 11.0606
0.0000 2.1384 24.0711
1.8519 1.0692 2.2777
1.8519 1.0692 15.2882
```

---

Most stable structure, least stable structure: #ii, #iii.

---

#i
# Nd2ErGa3

An optimized crystal structure of Nd2ErGa3 (PBE-GGA, the Alexandria database).

POSCAR file:
```
Nd2ErGa3
1.0
2.3530 -10.5022 0.0000
2.3530 10.5022 0.0000
0.0000 0.0000 6.3002
Nd Er Ga
4 2 6
Cartesian
2.3530 9.7583 4.7251
2.3530 7.3901 1.5750
2.3530 -7.3901 4.7251
2.3530 -9.7583 1.5750
2.3530 3.6446 1.5750
2.3530 -3.6446 4.7251
2.3530 5.1608 4.7251
2.3530 1.3150 3.4549
2.3530 1.3150 5.9954
2.3530 -1.3150 0.3048
2.3530 -1.3150 2.8453
2.3530 -5.1608 1.5750
```

---

#ii
# Nd2ErGa3

An optimized crystal structure of Nd2ErGa3 (PBE-GGA, the Alexandria database).

POSCAR file:
```
Nd2ErGa3
1.0
5.1470 0.0000 0.0000
-2.5735 4.4574 0.0000
0.0000 0.0000 12.6783
Nd Er Ga
4 2 6
Cartesian
0.0000 0.0000 0.0000
0.0000 0.0000 6.3391
0.0000 2.9716 2.1783
2.5735 1.4858 10.5000
0.0000 2.9716 8.4469
2.5735 1.4858 4.2314
0.0000 0.0000 3.2194
0.0000 0.0000 9.4589
0.0000 2.9716 5.3135
0.0000 2.9716 11.5910
2.5735 1.4858 1.0873
2.5735 1.4858 7.3648
```

---

Most stable structure, least stable structure: #ii, #i.

---

#i
# NdEr3Ga2

An optimized crystal structure of NdEr3Ga2 (PBE-GGA, the Alexandria database).

POSCAR file:
```
NdEr3Ga2
1.0
4.9211 0.0000 0.0000
0.0000 9.5285 0.0000
0.0000 0.0000 6.6214
Nd Er Ga
2 6 4
Cartesian
0.0000 0.4730 0.0000
0.0000 9.0554 3.3107
0.0000 3.0909 4.1350
0.0000 6.4376 0.8243
2.4606 1.8030 1.9202
2.4606 4.2553 6.0907
2.4606 5.2732 2.7800
2.4606 7.7254 5.2308
0.0000 3.4744 1.1249
0.0000 6.0540 4.4356
2.4606 1.3500 4.9152
2.4606 8.1785 1.6045
```

---

#ii
# NdEr3Ga2

An optimized crystal structure of NdEr3Ga2 (PBE-GGA, the Alexandria database).

POSCAR file:
```
NdEr3Ga2
1.0
7.9874 -2.5509 0.0000
7.9874 2.5509 0.0000
-4.0540 0.0000 7.8353
Nd Er Ga
2 6 4
Cartesian
1.3228 0.0000 1.4782
10.5980 0.0000 6.3572
-1.8908 0.0000 5.6148
4.9419 0.0000 0.0884
4.0786 0.0000 3.8382
7.8423 0.0000 3.9971
6.9789 0.0000 7.7469
13.8116 0.0000 2.2205
1.0976 0.0000 4.8167
4.3486 0.0000 6.6548
7.5722 0.0000 1.1805
10.8232 0.0000 3.0186
```

---

Most stable structure, least stable structure: #i, #ii.

---

#i
# NdEr3Ga4

An optimized crystal structure of NdEr3Ga4 (PBE-GGA, the Alexandria database).

POSCAR file:
```
NdEr3Ga4
1.0
5.0647 0.0000 0.0000
0.0000 5.0647 0.0000
0.0000 0.0000 7.1582
Nd Er Ga
1 3 4
Cartesian
0.0000 0.0000 0.0000
0.0000 0.0000 3.5791
2.5324 2.5324 0.0000
2.5324 2.5324 3.5791
0.0000 2.5324 1.8575
0.0000 2.5324 5.3008
2.5324 0.0000 1.8575
2.5324 0.0000 5.3008
```

---

#ii
# NdEr3Ga4

An optimized crystal structure of NdEr3Ga4 (PBE-GGA, the Alexandria database).

POSCAR file:
```
NdEr3Ga4
1.0
3.4963 0.0000 0.0000
0.0000 6.7649 0.0000
0.0000 0.0000 16.8499
Nd Er Ga
2 6 8
Cartesian
0.0000 0.0000 0.0000
1.7482 3.3824 8.4250
0.0000 0.0000 8.4250
0.0000 3.3824 4.9707
0.0000 3.3824 11.8792
1.7482 0.0000 3.4542
1.7482 0.0000 13.3957
1.7482 3.3824 0.0000
0.0000 2.0919 2.2175
0.0000 2.0919 14.6324
0.0000 4.6730 2.2175
0.0000 4.6730 14.6324
1.7482 1.2905 6.2074
1.7482 1.2905 10.6425
1.7482 5.4744 6.2074
1.7482 5.4744 10.6425
```

---

Most stable structure, least stable structure: #i, #ii.